Entry 1:
! LaTlPb PBE relaxed; values from VASP
! D(E_F)	0.902	states/eV per atom
! relative energy among the computed polymorphs	79	meV per atom
! total DFT energy (no corrections)	-4.004	eV/atom
! DFT formation energy	-0.34	eV per atom
&SYSTEM
  ibrav = 0, nat = 6, ntyp = 3
/
ATOMIC_SPECIES
La 138.91 La.upf
Tl 204.38 Tl.upf
Pb 207.20 Pb.upf
CELL_PARAMETERS angstrom
4.706 0.000 0.000
0.000 4.706 0.000
0.000 0.000 8.723
ATOMIC_POSITIONS crystal
La 0.250 0.250 0.182
La 0.750 0.750 0.818
Tl 0.250 0.750 0.500
Tl 0.750 0.250 0.500
Pb 0.250 0.250 0.805
Pb 0.750 0.750 0.195

Entry 2:
! ZnRe2Ru PBE relaxed; values from VASP
! D(E_F)	1.149	states/eV per atom
! total DFT energy (no corrections)	-8.531	eV/atom
! DFT formation energy	0.33	eV per atom
&SYSTEM
  ibrav = 0, nat = 4, ntyp = 3
/
ATOMIC_SPECIES
Zn 65.41 Zn.upf
Re 186.21 Re.upf
Ru 101.07 Ru.upf
CELL_PARAMETERS angstrom
3.755 0.000 0.000
0.000 3.755 0.000
0.000 0.000 4.114
ATOMIC_POSITIONS crystal
Zn 0.000 0.000 0.000
Re 0.000 0.500 0.500
Re 0.500 0.000 0.500
Ru 0.500 0.500 0.000

Entry 3:
! PmTm2Pt PBE relaxed; values from VASP
! D(E_F)	1.304	states/eV per atom
! relative energy among the computed polymorphs	180	meV per atom
! total DFT energy (no corrections)	-5.467	eV/atom
! DFT formation energy	-0.53	eV per atom
&SYSTEM
  ibrav = 0, nat = 4, ntyp = 3
/
ATOMIC_SPECIES
Pm 145.00 Pm.upf
Tm 168.93 Tm.upf
Pt 195.08 Pt.upf
CELL_PARAMETERS angstrom
1.908 1.102 9.409
-1.908 1.102 9.409
0.000 -2.203 9.409
ATOMIC_POSITIONS crystal
Pm 0.000 0.000 0.000
Tm 0.226 0.226 0.226
Tm 0.774 0.774 0.774
Pt 0.500 0.500 0.500

Entry 4:
! NpPaIn6 PBE relaxed; values from VASP
! D(E_F)	1.925	states/eV per atom
! total DFT energy (no corrections)	-4.928	eV/atom
! DFT formation energy	-0.07	eV per atom
&SYSTEM
  ibrav = 0, nat = 8, ntyp = 3
/
ATOMIC_SPECIES
Np 237.00 Np.upf
Pa 231.04 Pa.upf
In 114.82 In.upf
CELL_PARAMETERS angstrom
6.556 0.000 0.000
0.000 6.556 0.000
0.000 0.000 4.651
ATOMIC_POSITIONS crystal
Np 0.000 0.000 0.000
Pa 0.500 0.500 0.000
In 0.000 0.500 0.000
In 0.249 0.249 0.500
In 0.249 0.751 0.500
In 0.500 0.000 0.000
In 0.751 0.249 0.500
In 0.751 0.751 0.500

Q: Which formula does entry 2 have?
A: ZnRe2Ru

What did the third record say?
! PmTm2Pt PBE relaxed; values from VASP
! D(E_F)	1.304	states/eV per atom
! relative energy among the computed polymorphs	180	meV per atom
! total DFT energy (no corrections)	-5.467	eV/atom
! DFT formation energy	-0.53	eV per atom
&SYSTEM
  ibrav = 0, nat = 4, ntyp = 3
/
ATOMIC_SPECIES
Pm 145.00 Pm.upf
Tm 168.93 Tm.upf
Pt 195.08 Pt.upf
CELL_PARAMETERS angstrom
1.908 1.102 9.409
-1.908 1.102 9.409
0.000 -2.203 9.409
ATOMIC_POSITIONS crystal
Pm 0.000 0.000 0.000
Tm 0.226 0.226 0.226
Tm 0.774 0.774 0.774
Pt 0.500 0.500 0.500

Q: The lowest total DFT energy (no corrections) belongs to which entry?
A: ZnRe2Ru